1.
Here is crystalline Ce8GePd24 at its relaxed geometry from the Alexandria database. Energies are from GGA-PBEsol.

Output
- energy of formation from the pure elements (meV per atom) = -763
- size of the total moment (μB per formula unit) = 3.62
- SG = Pm-3m
- electronic total energy (eV/atom) = -6.85

Unit cell a=8.2894 b=8.2894 c=8.2894 alpha=90.00 beta=90.00 gamma=90.00
Each line ends with the local moment (μB).
Element x y z (fractional)
Pd (0.5000, 0.5000, 0.2537)  -0.01
Pd (0.0000, 0.5000, 0.2624)  0.00
Pd (0.0000, 0.0000, 0.7008)  0.01
Pd (0.5000, 0.2624, 0.0000)  0.00
Pd (0.0000, 0.2992, 0.0000)  0.01
Pd (0.5000, 0.0000, 0.7376)  0.00
Pd (0.5000, 0.7463, 0.5000)  -0.01
Pd (0.2537, 0.5000, 0.5000)  -0.01
Pd (0.5000, 0.7376, 0.0000)  0.00
Pd (0.2992, 0.0000, 0.0000)  0.01
Pd (0.7376, 0.0000, 0.5000)  0.00
Pd (0.0000, 0.2624, 0.5000)  0.00
Pd (0.7376, 0.5000, 0.0000)  0.00
Pd (0.5000, 0.0000, 0.2624)  0.00
Pd (0.0000, 0.7008, 0.0000)  0.01
Pd (0.5000, 0.5000, 0.7463)  -0.01
Pd (0.2624, 0.0000, 0.5000)  0.00
Pd (0.7008, 0.0000, 0.0000)  0.01
Pd (0.7463, 0.5000, 0.5000)  -0.01
Pd (0.5000, 0.2537, 0.5000)  -0.01
Pd (0.0000, 0.5000, 0.7376)  0.00
Pd (0.0000, 0.7376, 0.5000)  0.00
Pd (0.0000, 0.0000, 0.2992)  0.01
Pd (0.2624, 0.5000, 0.0000)  0.00
Ce (0.2490, 0.7510, 0.7510)  0.42
Ce (0.2490, 0.2490, 0.2490)  0.42
Ce (0.2490, 0.2490, 0.7510)  0.42
Ce (0.7510, 0.7510, 0.7510)  0.42
Ce (0.7510, 0.7510, 0.2490)  0.42
Ce (0.2490, 0.7510, 0.2490)  0.42
Ce (0.7510, 0.2490, 0.7510)  0.42
Ce (0.7510, 0.2490, 0.2490)  0.42
Ge (0.0000, 0.0000, 0.0000)  0.01

=====

2.
Here is crystalline Sc2TlSbAu at its relaxed geometry from the Alexandria database. Energies are from GGA-PBEsol.

Output
- size of the total moment (μB per formula unit) = 0.00
- SG = P4/mmm
- electronic total energy (eV/atom) = -4.50
- E_form (uncorrected) (kJ per mole of atoms) = 35

Unit cell a=4.9802 b=5.3270 c=5.3270 alpha=90.00 beta=90.00 gamma=90.00
Element x y z (fractional)
Au (0.5000, 0.0000, 0.0000)
Tl (0.0000, 0.0000, 0.0000)
Sb (0.5000, 0.5000, 0.5000)
Sc (0.0000, 0.5000, 0.0000)
Sc (0.0000, 0.0000, 0.5000)

=====

3.
Here is crystalline TaAs2OsW at its relaxed geometry from the Alexandria database. Energies are from GGA-PBEsol.

Output
- energy of formation from the pure elements (meV per atom) = 1660
- size of the total moment (μB per formula unit) = 0.86
- SG = P4/mmm
- electronic total energy (eV/atom) = -8.10

Unit cell a=4.5913 b=4.5913 c=4.8660 alpha=90.00 beta=90.00 gamma=90.00
Each line ends with the local moment (μB).
Element x y z (fractional)
W (0.0000, 0.0000, 0.5000)  -0.16
As (0.5000, 0.0000, 0.0000)  -0.01
As (0.0000, 0.5000, 0.0000)  -0.01
Os (0.0000, 0.0000, 0.0000)  0.11
Ta (0.5000, 0.5000, 0.5000)  0.65

=====

4.
Here is crystalline Co2CuNi at its relaxed geometry from the Alexandria database. Energies are from GGA-PBEsol.

Output
- energy of formation from the pure elements (meV per atom) = 72
- energy above the most stable polymorph in this dataset (kJ/mol of atoms) = 3.63
- size of the total moment (μB per formula unit) = 3.79
- SG = R-3m
- electronic total energy (eV/atom) = -6.42

Unit cell a=2.4509 b=2.4509 c=8.2690 alpha=81.48 beta=81.48 gamma=60.00
Each line ends with the local moment (μB).
Element x y z (fractional)
Co (0.2519, 0.2519, 0.2442)  1.57
Co (0.7481, 0.7481, 0.7558)  1.57
Cu (0.5000, 0.5000, 0.5000)  0.04
Ni (0.0000, 0.0000, 0.0000)  0.69

=====

5.
Here is crystalline LiP3C at its relaxed geometry from the Alexandria database. Energies are from GGA-PBEsol.

Output
- energy of formation from the pure elements (meV per atom) = 1955
- size of the total moment (μB per formula unit) = 0.00
- SG = Pm-3m
- electronic total energy (eV/atom) = -3.84

Unit cell a=4.1194 b=4.1194 c=4.1194 alpha=90.00 beta=90.00 gamma=90.00
Element x y z (fractional)
P (0.5000, 0.0000, 0.0000)
P (0.0000, 0.5000, 0.0000)
P (0.0000, 0.0000, 0.5000)
C (0.5000, 0.5000, 0.5000)
Li (0.0000, 0.0000, 0.0000)

=====

6.
Here is crystalline ScCo2Re at its relaxed geometry from the Alexandria database. Energies are from GGA-PBEsol.

Output
- energy of formation from the pure elements (meV per atom) = 251
- energy above the most stable polymorph in this dataset (kJ/mol of atoms) = 34.12
- size of the total moment (μB per formula unit) = 1.40
- SG = R-3m
- electronic total energy (eV/atom) = -8.60

Unit cell a=2.7412 b=2.7412 c=8.4361 alpha=80.65 beta=80.65 gamma=60.00
Each line ends with the local moment (μB).
Element x y z (fractional)
Co (0.7528, 0.7528, 0.7416)  0.74
Co (0.2472, 0.2472, 0.2584)  0.74
Re (0.5000, 0.5000, 0.5000)  0.02
Sc (0.0000, 0.0000, 0.0000)  -0.07

=====

7.
Here is crystalline KTaPd3 at its relaxed geometry from the Alexandria database. Energies are from GGA-PBEsol.

Output
- energy of formation from the pure elements (meV per atom) = 643
- size of the total moment (μB per formula unit) = 0.00
- SG = Pm-3m
- electronic total energy (eV/atom) = -5.67

Unit cell a=4.8908 b=4.8908 c=4.8908 alpha=90.00 beta=90.00 gamma=90.00
Element x y z (fractional)
Ta (0.0000, 0.0000, 0.0000)
K (0.5000, 0.5000, 0.5000)
Pd (0.5000, 0.0000, 0.0000)
Pd (0.0000, 0.0000, 0.5000)
Pd (0.0000, 0.5000, 0.0000)

=====

8.
Here is crystalline CaIr2 at its relaxed geometry from the Alexandria database. Energies are from GGA-PBEsol.

Output
- energy of formation from the pure elements (meV per atom) = 63
- size of the total moment (μB per formula unit) = 0.00
- SG = C2/m
- electronic total energy (eV/atom) = -7.20

Unit cell a=2.7853 b=5.2638 c=7.8108 alpha=108.31 beta=90.00 gamma=105.34
Element x y z (fractional)
Ca (0.1543, 0.3086, 0.1249)
Ca (0.8457, 0.6914, 0.8751)
Ir (0.1404, 0.2807, 0.5066)
Ir (0.5541, 0.1082, 0.7427)
Ir (0.4459, 0.8918, 0.2573)
Ir (0.8596, 0.7193, 0.4934)

=====

9.
Here is crystalline YMoCl2 at its relaxed geometry from the Alexandria database. Energies are from GGA-PBEsol.

Output
- energy above the most stable polymorph in this dataset (kJ/mol of atoms) = 0.00
- size of the total moment (μB per formula unit) = 0.00
- SG = P4mm
- electronic total energy (eV/atom) = -6.28
- E_form (uncorrected) (kJ per mole of atoms) = -61

Unit cell a=3.1997 b=3.1997 c=7.9881 alpha=90.00 beta=90.00 gamma=89.93
Element x y z (fractional)
Mo (0.0000, 0.0000, 0.5349)
Cl (0.5000, 0.5000, 0.6616)
Cl (0.0000, 0.0000, 0.0453)
Y (0.5000, 0.5000, 0.2582)

=====

10.
Here is crystalline LiNiIr2 at its relaxed geometry from the Alexandria database. Energies are from GGA-PBEsol.

Output
- energy of formation from the pure elements (meV per atom) = -42
- energy above the most stable polymorph in this dataset (kJ/mol of atoms) = 0.00
- size of the total moment (μB per formula unit) = 0.00
- SG = I-4m2
- electronic total energy (eV/atom) = -6.98

Unit cell a=3.6632 b=3.6632 c=4.4772 alpha=114.15 beta=114.15 gamma=90.00
Element x y z (fractional)
Ir (0.0000, 0.0000, 0.0000)
Ir (0.7500, 0.2500, 0.5000)
Ni (0.2500, 0.7500, 0.5000)
Li (0.5000, 0.5000, 0.0000)

=====

11.
Here is crystalline K2LiMo at its relaxed geometry from the Alexandria database. Energies are from GGA-PBEsol.

Output
- energy of formation from the pure elements (meV per atom) = 1138
- energy above the most stable polymorph in this dataset (kJ/mol of atoms) = 1.09
- size of the total moment (μB per formula unit) = 0.08
- SG = R-3m
- electronic total energy (eV/atom) = -2.86

Unit cell a=3.0377 b=3.0377 c=12.7392 alpha=83.15 beta=83.15 gamma=60.00
Each line ends with the local moment (μB).
Element x y z (fractional)
K (0.7444, 0.7444, 0.7669)  0.00
K (0.2556, 0.2556, 0.2331)  0.00
Li (0.5000, 0.5000, 0.5000)  0.00
Mo (0.0000, 0.0000, 0.0000)  0.06

=====

12.
Here is crystalline Mn4Ir at its relaxed geometry from the Alexandria database. Energies are from GGA-PBEsol.

Output
- energy of formation from the pure elements (meV per atom) = 0
- size of the total moment (μB per formula unit) = 0.83
- SG = I4/m
- electronic total energy (eV/atom) = -9.77

Unit cell a=3.5355 b=4.3490 c=4.3490 alpha=80.49 beta=66.02 gamma=66.02
Each line ends with the local moment (μB).
Element x y z (fractional)
Ir (0.0000, 0.0000, 0.0000)  0.00
Mn (0.5968, 0.2109, 0.5956)  0.20
Mn (0.8077, 0.5956, 0.7891)  0.20
Mn (0.1923, 0.4044, 0.2109)  0.20
Mn (0.4032, 0.7891, 0.4044)  0.20

=====

13.
Here is crystalline Ag5Sb at its relaxed geometry from the Alexandria database. Energies are from GGA-PBEsol.

Output
- energy above the most stable polymorph in this dataset (kJ/mol of atoms) = 4.43
- size of the total moment (μB per formula unit) = 0.00
- SG = Amm2
- electronic total energy (eV/atom) = -3.46
- E_form (uncorrected) (kJ per mole of atoms) = 6

Unit cell a=3.0286 b=4.7359 c=7.7095 alpha=90.00 beta=101.33 gamma=90.00
Element x y z (fractional)
Ag (0.7837, 0.5000, 0.5673)
Ag (0.4407, 0.5000, 0.8814)
Ag (0.9939, 0.0000, 0.9878)
Ag (0.6711, 0.0000, 0.3421)
Ag (0.3332, 0.0000, 0.6664)
Sb (0.1108, 0.5000, 0.2216)

=====

14.
Here is crystalline Cr2HgRu at its relaxed geometry from the Alexandria database. Energies are from GGA-PBEsol.

Output
- energy of formation from the pure elements (meV per atom) = 519
- size of the total moment (μB per formula unit) = 0.00
- SG = R-3m
- electronic total energy (eV/atom) = -7.29

Unit cell a=2.7152 b=2.7152 c=8.9378 alpha=81.26 beta=81.26 gamma=60.00
Element x y z (fractional)
Ru (0.0000, 0.0000, 0.0000)
Hg (0.5000, 0.5000, 0.5000)
Cr (0.7428, 0.7428, 0.7717)
Cr (0.2572, 0.2572, 0.2283)

=====

DOS(E_F), respectively: 38.3 3.6 6.6 3.7 2.0 4.9 4.5 6.7 2.0 2.7 4.8 7.8 1.4 4.1 states/eV per cell.